Compound: NbGaPd3
Source: Alexandria
Functional: PBE-GGA
Structure: relaxed

Unit cell a=4.5561 b=4.5561 c=4.5561 alpha=90.00 beta=90.00 gamma=90.00
Last column: nearest neighbours and their distance in Å.
Fractional coordinates of all 5 atoms:
Nb  0.5000  0.5000  0.5000  12 Pd 3.22
Ga  0.0000  0.0000  0.0000  6 Pd 2.28
Pd  0.0000  0.5000  0.0000  2 Ga 2.28
Pd  0.0000  0.0000  0.5000  2 Ga 2.28
Pd  0.5000  0.0000  0.0000  2 Ga 2.28

## Properties
As for the space group: Pm-3m (221). Its total DFT energy (no corrections) is -5.211 eV/atom. The theoretical density comes out at 8.46 g cm⁻³. As for the energy of formation from the pure elements: 0.524 eV per atom. The calculation puts the energy above the most stable polymorph in this dataset at 913 meV/atom.